[1]
{"formula": "Ca2GePCl", "functional": "meta-GGA SCAN", "state": "PBEsol geometry", "lattice_angstrom": [[4.5257, 0.0000, 0.0000], [0.0000, 5.5932, 0.0000], [0.0000, 0.0000, 5.5932]], "species": ["P", "Ge", "Ca", "Ca", "Cl"], "fractional_positions": [[0.5000, 0.0000, 0.0000], [0.0000, 0.0000, 0.0000], [0.0000, 0.0000, 0.5000], [0.0000, 0.5000, 0.0000], [0.5000, 0.5000, 0.5000]], "e_form_raw_ev_per_atom": -0.63, "mass_density_g_cm3": 2.57, "space_group": "No. 123"}

[2]
{"formula": "CaTaGeCl2", "functional": "meta-GGA SCAN", "state": "PBEsol geometry", "lattice_angstrom": [[4.7904, 0.0000, 0.0000], [0.0000, 4.7904, 0.0000], [0.0000, 0.0000, 6.9417]], "species": ["Ge", "Cl", "Cl", "Ca", "Ta"], "fractional_positions": [[0.5000, 0.5000, 0.5000], [0.0000, 0.5000, 0.0000], [0.5000, 0.0000, 0.0000], [0.0000, 0.0000, 0.0000], [0.0000, 0.0000, 0.5000]], "e_form_raw_ev_per_atom": 0.34, "mass_density_g_cm3": 3.80, "space_group": "No. 123"}

[3]
{"formula": "CaHCl", "functional": "meta-GGA SCAN", "state": "PBEsol geometry", "lattice_angstrom": [[-2.8977, 2.1238, -1.1485], [0.6791, -1.0048, -3.5715], [-4.1332, -5.2635, 0.6948]], "species": ["H", "H", "Ca", "Ca", "Cl", "Cl"], "fractional_positions": [[0.0000, 0.0000, 0.0000], [0.5000, 0.5000, 0.0000], [0.0000, 0.5000, 0.1944], [0.5000, 0.0000, 0.8056], [0.0000, 0.5000, 0.6511], [0.5000, 0.0000, 0.3489]], "mass_density_g_cm3": 2.66, "dft_energy_ev_per_cell": -52.4, "space_group": "No. 129"}

[4]
{"formula": "CaMg2H24Cl6O12", "functional": "meta-GGA SCAN", "state": "PBEsol geometry", "lattice_angstrom": [[8.2676, 0.1808, 0.1478], [2.2218, 7.9655, 0.1478], [2.2218, 1.7255, 7.7778]], "species": ["Ca", "Cl", "Cl", "Cl", "Cl", "Cl", "Cl", "H", "H", "H", "H", "H", "H", "H", "H", "H", "H", "H", "H", "H", "H", "H", "H", "H", "H", "H", "H", "H", "H", "H", "H", "Mg", "Mg", "O", "O", "O", "O", "O", "O", "O", "O", "O", "O", "O", "O"], "fractional_positions": [[0.0000, 0.0000, 0.0000], [0.8956, 0.1354, 0.6972], [0.1354, 0.6972, 0.8956], [0.6972, 0.8956, 0.1354], [0.1044, 0.8646, 0.3028], [0.8646, 0.3028, 0.1044], [0.3028, 0.1044, 0.8646], [0.7881, 0.9791, 0.6268], [0.9791, 0.6268, 0.7881], [0.6268, 0.7881, 0.9791], [0.2119, 0.0209, 0.3732], [0.0209, 0.3732, 0.2119], [0.3732, 0.2119, 0.0209], [0.8632, 0.8934, 0.4666], [0.8934, 0.4666, 0.8632], [0.4666, 0.8632, 0.8934], [0.1368, 0.1066, 0.5334], [0.1066, 0.5334, 0.1368], [0.5334, 0.1368, 0.1066], [0.6867, 0.3464, 0.7388], [0.3464, 0.7388, 0.6867], [0.7388, 0.6867, 0.3464], [0.3133, 0.6536, 0.2612], [0.6536, 0.2612, 0.3133], [0.2612, 0.3133, 0.6536], [0.5427, 0.3899, 0.9027], [0.3899, 0.9027, 0.5427], [0.9027, 0.5427, 0.3899], [0.4573, 0.6101, 0.0973], [0.6101, 0.0973, 0.4573], [0.0973, 0.4573, 0.6101], [0.6766, 0.6766, 0.6766], [0.3234, 0.3234, 0.3234], [0.7557, 0.9139, 0.5602], [0.9139, 0.5602, 0.7557], [0.5602, 0.7557, 0.9139], [0.2443, 0.0861, 0.4398], [0.0861, 0.4398, 0.2443], [0.4398, 0.2443, 0.0861], [0.6048, 0.4446, 0.7865], [0.4446, 0.7865, 0.6048], [0.7865, 0.6048, 0.4446], [0.3952, 0.5554, 0.2135], [0.5554, 0.2135, 0.3952], [0.2135, 0.3952, 0.5554]], "mass_density_g_cm3": 1.70, "dft_energy_ev_per_cell": -285.5, "space_group": "No. 148"}

[5]
{"formula": "CaH8Cl2O4", "functional": "meta-GGA SCAN", "state": "PBEsol geometry", "lattice_angstrom": [[6.2354, -0.0412, 0.1413], [-2.3084, 6.0504, -0.0487], [-1.0551, -0.9381, 8.0598]], "species": ["Ca", "Ca", "Cl", "Cl", "Cl", "Cl", "H", "H", "H", "H", "H", "H", "H", "H", "H", "H", "H", "H", "H", "H", "H", "H", "O", "O", "O", "O", "O", "O", "O", "O"], "fractional_positions": [[0.0017, 0.8814, 0.7442], [0.9983, 0.1186, 0.2558], [0.2817, 0.7084, 0.9561], [0.7183, 0.2916, 0.0439], [0.2328, 0.2708, 0.5951], [0.7672, 0.7292, 0.4049], [0.1971, 0.3306, 0.9367], [0.8029, 0.6694, 0.0633], [0.3588, 0.2095, 0.0027], [0.6412, 0.7905, 0.9973], [0.5346, 0.9184, 0.6643], [0.4654, 0.0816, 0.3357], [0.6917, 0.1058, 0.8129], [0.3083, 0.8942, 0.1871], [0.5844, 0.4480, 0.6744], [0.4156, 0.5520, 0.3256], [0.7527, 0.4450, 0.8312], [0.2473, 0.5550, 0.1688], [0.2412, 0.6142, 0.5770], [0.7588, 0.3858, 0.4230], [0.2545, 0.8128, 0.4662], [0.7455, 0.1872, 0.5338], [0.1912, 0.1853, 0.9718], [0.8088, 0.8147, 0.0282], [0.7002, 0.0224, 0.7085], [0.2998, 0.9776, 0.2915], [0.7503, 0.5135, 0.7264], [0.2497, 0.4865, 0.2736], [0.2671, 0.7758, 0.5831], [0.7329, 0.2242, 0.4169]], "mass_density_g_cm3": 2.00, "dft_energy_ev_per_cell": -198.2, "space_group": "No. 2"}

[6]
{"formula": "CaH8Cl2O4", "functional": "meta-GGA SCAN", "state": "PBEsol geometry", "lattice_angstrom": [[-4.7290, 3.6806, -0.0866], [-1.4930, -1.7459, 7.3288], [7.1064, 4.3700, 2.4887]], "species": ["Ca", "Ca", "Cl", "Cl", "Cl", "Cl", "H", "H", "H", "H", "H", "H", "H", "H", "H", "H", "H", "H", "H", "H", "H", "H", "O", "O", "O", "O", "O", "O", "O", "O"], "fractional_positions": [[0.0000, 0.0000, 0.0000], [0.5000, 0.5000, 0.5000], [0.7709, 0.7158, 0.0709], [0.7291, 0.2158, 0.4291], [0.2291, 0.2842, 0.9291], [0.2709, 0.7842, 0.5709], [0.7293, 0.6995, 0.3015], [0.7707, 0.1995, 0.1985], [0.2707, 0.3005, 0.6985], [0.2293, 0.8005, 0.8015], [0.5952, 0.2222, 0.0190], [0.9048, 0.7222, 0.4810], [0.4048, 0.7778, 0.9810], [0.0952, 0.2778, 0.5190], [0.2556, 0.9293, 0.3583], [0.2444, 0.4293, 0.1417], [0.7444, 0.0707, 0.6417], [0.7556, 0.5707, 0.8583], [0.4136, 0.0669, 0.3095], [0.0864, 0.5669, 0.1905], [0.5864, 0.9331, 0.6905], [0.9136, 0.4331, 0.8095], [0.7595, 0.1862, 0.0828], [0.7405, 0.6862, 0.4172], [0.2405, 0.8138, 0.9172], [0.2595, 0.3138, 0.5828], [0.2651, 0.9987, 0.2647], [0.2349, 0.4987, 0.2353], [0.7349, 0.0013, 0.7353], [0.7651, 0.5013, 0.7647]], "mass_density_g_cm3": 1.61, "dft_energy_ev_per_cell": -197.8, "space_group": "No. 14"}

[7]
{"formula": "CaHClO", "functional": "meta-GGA SCAN", "state": "PBEsol geometry", "lattice_angstrom": [[3.8223, 0.0000, 0.0000], [-1.9112, 3.3102, 0.0000], [0.0000, 0.0000, 9.7895]], "species": ["H", "H", "Ca", "Ca", "O", "O", "Cl", "Cl"], "fractional_positions": [[0.0000, 0.0000, 0.8318], [0.0000, 0.0000, 0.3318], [0.6667, 0.3333, 0.0001], [0.3333, 0.6667, 0.5001], [0.0000, 0.0000, 0.9322], [0.0000, 0.0000, 0.4322], [0.6667, 0.3333, 0.6841], [0.3333, 0.6667, 0.1841]], "mass_density_g_cm3": 2.48, "dft_energy_ev_per_cell": -73.3, "space_group": "No. 186"}

[8]
{"formula": "CaP2HCl", "functional": "meta-GGA SCAN", "state": "PBEsol geometry", "lattice_angstrom": [[3.7225, 0.0000, 0.0000], [0.0000, 3.7225, 0.0000], [0.0000, 0.0000, 5.8030]], "species": ["P", "P", "Ca", "H", "Cl"], "fractional_positions": [[0.0000, 0.5000, 0.0000], [0.5000, 0.0000, 0.0000], [0.5000, 0.5000, 0.5000], [0.0000, 0.0000, 0.0000], [0.0000, 0.0000, 0.5000]], "mass_density_g_cm3": 2.86, "dft_energy_ev_per_cell": -44.1, "space_group": "No. 123"}

[9]
{"formula": "CaHSCl2", "functional": "meta-GGA SCAN", "state": "PBEsol geometry", "lattice_angstrom": [[-0.4530, -0.3086, 5.2505], [-3.5736, -3.8487, -0.5345], [4.1376, -3.8599, 0.1301]], "species": ["H", "Ca", "S", "Cl", "Cl"], "fractional_positions": [[0.5000, 0.5000, 0.5000], [0.0000, 0.0000, 0.0000], [0.0000, 0.0000, 0.5000], [0.0000, 0.5000, 0.0000], [0.5000, 0.0000, 0.0000]], "mass_density_g_cm3": 1.52, "dft_energy_ev_per_cell": -41.1, "space_group": "No. 123"}

[10]
{"formula": "CaHfS2Cl", "functional": "meta-GGA SCAN", "state": "PBEsol geometry", "lattice_angstrom": [[4.7854, 0.0000, 0.0000], [0.0000, 4.9151, 0.0000], [0.0000, 0.0000, 4.9151]], "species": ["Ca", "Hf", "S", "S", "Cl"], "fractional_positions": [[0.5000, 0.5000, 0.5000], [0.0000, 0.0000, 0.0000], [0.0000, 0.0000, 0.5000], [0.0000, 0.5000, 0.0000], [0.5000, 0.0000, 0.0000]], "e_form_raw_ev_per_atom": -1.62, "mass_density_g_cm3": 4.57, "space_group": "No. 123"}

[11]
{"formula": "CaHgCl2", "functional": "meta-GGA SCAN", "state": "PBEsol geometry", "lattice_angstrom": [[-1.4903, -3.4992, 0.8939], [2.0906, -4.0386, -3.7858], [4.3367, -3.5369, 1.9225]], "species": ["Ca", "Hg", "Cl", "Cl"], "fractional_positions": [[0.5000, 0.0000, 0.0000], [0.0000, 0.5000, 0.5000], [0.1920, 0.8080, 0.8080], [0.8080, 0.1920, 0.1920]], "e_form_raw_ev_per_atom": -1.73, "mass_density_g_cm3": 4.62, "space_group": "No. 71"}